Density functional theory data (GGA-PBE) for a relaxed structure of TiPdSe3.

Structure (CIF):
```
data_TiPdSe3
_chemical_formula_sum 'Ti4 Pd4 Se12'
_space_group_name_H-M_alt 'C 1 2/m 1'
_space_group_IT_number 12
_space_group_name_Hall '-C 2y'
_cell_length_a 14.480
_cell_length_b 3.774
_cell_length_c 7.374
_cell_angle_alpha 90.00
_cell_angle_beta 94.58
_cell_angle_gamma 90.00
loop_
_atom_site_label
_atom_site_type_symbol
_atom_site_fract_x
_atom_site_fract_y
_atom_site_fract_z
Ti1 Ti 0.208 0.000 0.236
Pd1 Pd 0.062 0.500 0.667
Se1 Se 0.029 0.000 0.215
Se2 Se 0.162 0.500 0.016
Se3 Se 0.178 0.000 0.585
```

Uncorrected energy, eV/cell: -106.1
Energy relative to the elements, uncorrected, eV per atom: -0.597
Fermi-level density of states, states/eV/cell: 10.25
Crystal system: monoclinic
Total moment, μB/f.u.: 0.00
Energy above the most stable polymorph in this dataset, meV per atom: 102